[1]
Density functional theory data (PBE) for ScGa6Mo after structural relaxation.

```
ScGa6Mo
1.0
4.6162 2.6652 2.0036
-4.6162 2.6652 2.0036
0.0000 -5.3303 2.0036
Sc Ga Mo
1 6 1
direct
0.0000 0.0000 0.0000 Sc
0.2339 0.2339 0.7047 Ga
0.2339 0.7047 0.2339 Ga
0.2953 0.7661 0.7661 Ga
0.7047 0.2339 0.2339 Ga
0.7661 0.2953 0.7661 Ga
0.7661 0.7661 0.2953 Ga
0.5000 0.5000 0.5000 Mo
```

* mass density: 6.3 Mg/m³
* calculated total energy: -4.5031 eV/atom
* symmetry: No. 166
* formation energy: -0.088 eV per atom
* D(E_F): 0.622 states/eV per atom

---

[2]
Density functional theory data (PBE) for RbFePd2Br after structural relaxation.

```
RbFePd2Br
1.0
5.2319 0.0000 0.0000
0.0000 5.2319 0.0000
0.0000 0.0000 5.6612
Rb Fe Pd Br
1 1 2 1
direct
0.0000 0.0000 0.0000 Rb
0.0000 0.0000 0.5000 Fe
0.0000 0.5000 0.0000 Pd
0.5000 0.0000 0.0000 Pd
0.5000 0.5000 0.5000 Br
```

* energy relative to the elements, uncorrected: 1632 meV/atom
* mass density: 4.7 Mg/m³
* calculated total energy: -2.6655 eV/atom
* symmetry: No. 123
* D(E_F): 1.597 states/eV per atom

---

[3]
Density functional theory data (PBE) for RbZrCr2 after structural relaxation.

```
RbZrCr2
1.0
7.2654 0.0000 0.0000
0.0000 7.2654 0.0000
0.0000 0.0000 7.2654
Rb Zr Cr
4 4 8
direct
0.0000 0.0000 0.0000 Rb
0.0000 0.5000 0.5000 Rb
0.5000 0.0000 0.5000 Rb
0.5000 0.5000 0.0000 Rb
0.0000 0.0000 0.5000 Zr
0.0000 0.5000 0.0000 Zr
0.5000 0.0000 0.0000 Zr
0.5000 0.5000 0.5000 Zr
0.2500 0.2500 0.2500 Cr
0.2500 0.2500 0.7500 Cr
0.2500 0.7500 0.2500 Cr
0.2500 0.7500 0.7500 Cr
0.7500 0.2500 0.2500 Cr
0.7500 0.2500 0.7500 Cr
0.7500 0.7500 0.2500 Cr
0.7500 0.7500 0.7500 Cr
```

* mass density: 4.9 Mg/m³
* calculated total energy: -5.7447 eV/atom
* distance to the lowest polymorph of the same formula: 0.00 eV/f.u.
* symmetry: No. 225
* formation energy: 1.446 eV per atom
* D(E_F): 0.850 states/eV per atom

---

[4]
Density functional theory data (PBE) for Sc4AgF12 after structural relaxation.

```
Sc4AgF12
1.0
-4.0969 4.0969 4.0969
4.0969 -4.0969 4.0969
4.0969 4.0969 -4.0969
Sc Ag F
4 1 12
direct
0.0000 0.0000 0.5000 Sc
0.0000 0.5000 0.0000 Sc
0.5000 0.0000 0.0000 Sc
0.5000 0.5000 0.5000 Sc
0.0000 0.0000 0.0000 Ag
0.0022 0.7444 0.2579 F
0.2556 0.2579 0.5135 F
0.2556 0.7421 0.9978 F
0.2579 0.0022 0.7444 F
0.2579 0.5135 0.2556 F
0.4865 0.7444 0.7421 F
0.5135 0.2556 0.2579 F
0.7421 0.4865 0.7444 F
0.7421 0.9978 0.2556 F
0.7444 0.2579 0.0022 F
0.7444 0.7421 0.4865 F
0.9978 0.2556 0.7421 F
```

* energy relative to the elements, uncorrected: -3554 meV/atom
* mass density: 3.1 Mg/m³
* calculated total energy: -6.5326 eV/atom
* symmetry: No. 204
* D(E_F): 0.088 states/eV per atom

---

Q: The highest mass density belongs to which entry?
A: ScGa6Mo